A relaxed structure of LiPuI3. Source: Alexandria, functional GGA-PBE.

Summary:
The formation energy from raw total energies comes out at -102.2 kJ per mole of atoms. The calculated volume comes out at 44.03 Å³ per atom. For the total magnetization, the calculation gives 1.2000 μB per atom.

abc: 4.512 13.323 13.323
angles: 146.65 90.00 90.00
Positions (direct):
Li: 0.250 0.124 0.876
Li: 0.750 0.876 0.124
Pu: 0.250 0.426 0.766
Pu: 0.750 0.766 0.426
I: 0.250 0.062 0.609
I: 0.250 0.482 0.245
I: 0.250 0.790 0.946
I: 0.750 0.245 0.482
I: 0.750 0.609 0.062
I: 0.750 0.946 0.790

A relaxed structure of LiPuI3. Source: Alexandria, functional GGA-PBE.

Summary:
The formation energy from raw total energies comes out at -104.8 kJ per mole of atoms. The calculated volume comes out at 39.99 Å³ per atom. For the total magnetization, the calculation gives 1.2000 μB per atom.

abc: 8.030 4.501 11.094
angles: 90.00 94.20 90.00
Positions (direct):
Li: 0.107 0.250 0.405
Li: 0.893 0.750 0.595
Pu: 0.430 0.250 0.840
Pu: 0.570 0.750 0.160
I: 0.082 0.250 0.658
I: 0.246 0.750 0.984
I: 0.427 0.250 0.329
I: 0.573 0.750 0.671
I: 0.754 0.250 0.016
I: 0.918 0.750 0.342

A relaxed structure of Rb2Li2PuI6. Source: Alexandria, functional GGA-PBE.

Summary:
The formation energy from raw total energies comes out at -113.0 kJ per mole of atoms. The calculated volume comes out at 48.99 Å³ per atom. For the total magnetization, the calculation gives 0.5450 μB per atom.

abc: 9.495 9.495 9.495
angles: 55.27 55.27 55.27
Positions (direct):
Rb: 0.208 0.208 0.208
Rb: 0.792 0.792 0.792
Li: 0.416 0.416 0.416
Li: 0.584 0.584 0.584
Pu: 0.000 0.000 0.000
I: 0.234 0.752 0.752
I: 0.248 0.248 0.766
I: 0.248 0.766 0.248
I: 0.752 0.234 0.752
I: 0.752 0.752 0.234
I: 0.766 0.248 0.248

A relaxed structure of RbLiPuI6. Source: Alexandria, functional GGA-PBE.

Summary:
The formation energy from raw total energies comes out at -103.6 kJ per mole of atoms. The calculated volume comes out at 48.17 Å³ per atom. For the total magnetization, the calculation gives 0.4444 μB per atom.

abc: 7.751 7.751 16.665
angles: 90.00 90.00 120.00
Positions (direct):
Rb: 0.000 0.000 0.000
Rb: 0.000 0.000 0.500
Li: 0.333 0.667 0.250
Li: 0.667 0.333 0.750
Pu: 0.333 0.667 0.750
Pu: 0.667 0.333 0.250
I: 0.001 0.364 0.646
I: 0.001 0.637 0.854
I: 0.363 0.364 0.854
I: 0.363 0.999 0.646
I: 0.364 0.001 0.146
I: 0.364 0.363 0.354
I: 0.636 0.637 0.646
I: 0.636 0.999 0.854
I: 0.637 0.001 0.354
I: 0.637 0.636 0.146
I: 0.999 0.363 0.146
I: 0.999 0.636 0.354

A relaxed structure of Rb2LiPuI5. Source: Alexandria, functional GGA-PBE.

Summary:
The formation energy from raw total energies comes out at -122.4 kJ per mole of atoms. The calculated volume comes out at 43.92 Å³ per atom. For the total magnetization, the calculation gives 0.6667 μB per atom.

abc: 11.104 11.104 15.312
angles: 90.00 90.00 155.25
Positions (direct):
Rb: 0.108 0.892 0.500
Rb: 0.122 0.878 0.135
Rb: 0.878 0.122 0.635
Rb: 0.892 0.108 0.000
Li: 0.434 0.566 0.259
Li: 0.566 0.434 0.759
Pu: 0.207 0.793 0.841
Pu: 0.793 0.207 0.341
I: 0.058 0.942 0.856
I: 0.286 0.714 0.484
I: 0.307 0.693 0.199
I: 0.353 0.647 0.822
I: 0.496 0.504 0.105
I: 0.504 0.496 0.605
I: 0.647 0.353 0.322
I: 0.693 0.307 0.699
I: 0.714 0.286 0.984
I: 0.942 0.058 0.356

A relaxed structure of RbLiPu2I8. Source: Alexandria, functional GGA-PBE.

Summary:
The formation energy from raw total energies comes out at -107.4 kJ per mole of atoms. The calculated volume comes out at 46.83 Å³ per atom. For the total magnetization, the calculation gives 0.8333 μB per atom.

abc: 7.596 9.537 7.825
angles: 90.00 97.48 90.00
Positions (direct):
Rb: 0.000 0.000 0.000
Li: 0.000 0.500 0.000
Pu: 0.500 0.258 0.500
Pu: 0.500 0.742 0.500
I: 0.256 0.287 0.157
I: 0.256 0.713 0.157
I: 0.274 0.500 0.633
I: 0.284 0.000 0.622
I: 0.716 0.000 0.378
I: 0.726 0.500 0.367
I: 0.744 0.287 0.843
I: 0.744 0.713 0.843

A relaxed structure of RbLiPuI4. Source: Alexandria, functional GGA-PBE.

Summary:
The formation energy from raw total energies comes out at -112.7 kJ per mole of atoms. The calculated volume comes out at 41.75 Å³ per atom. For the total magnetization, the calculation gives 0.8571 μB per atom.

abc: 7.608 8.091 10.039
angles: 90.00 108.93 90.00
Positions (direct):
Rb: 0.240 0.250 0.052
Rb: 0.760 0.750 0.948
Li: 0.235 0.750 0.327
Li: 0.765 0.250 0.673
Pu: 0.210 0.250 0.549
Pu: 0.790 0.750 0.451
I: 0.018 0.505 0.715
I: 0.018 0.995 0.715
I: 0.439 0.750 0.152
I: 0.466 0.750 0.592
I: 0.534 0.250 0.408
I: 0.561 0.250 0.848
I: 0.982 0.005 0.285
I: 0.982 0.495 0.285

A relaxed structure of LiPuSeI. Source: Alexandria, functional GGA-PBE.

Summary:
The formation energy from raw total energies comes out at -117.1 kJ per mole of atoms. The calculated volume comes out at 28.88 Å³ per atom. For the total magnetization, the calculation gives 1.5000 μB per atom.

abc: 15.107 15.107 15.107
angles: 16.10 16.10 16.10
Positions (direct):
Li: 0.187 0.187 0.187
Li: 0.813 0.813 0.813
Pu: 0.423 0.423 0.423
Pu: 0.577 0.577 0.577
Se: 0.128 0.128 0.128
Se: 0.872 0.872 0.872
I: 0.289 0.289 0.289
I: 0.711 0.711 0.711

A relaxed structure of SrLiPuI6. Source: Alexandria, functional GGA-PBE.

Summary:
The formation energy from raw total energies comes out at -122.4 kJ per mole of atoms. The calculated volume comes out at 42.44 Å³ per atom. For the total magnetization, the calculation gives 0.5556 μB per atom.

abc: 7.806 7.806 14.476
angles: 90.00 90.00 120.00
Positions (direct):
Sr: 0.000 0.000 0.000
Sr: 0.000 0.000 0.500
Li: 0.333 0.667 0.250
Li: 0.667 0.333 0.750
Pu: 0.333 0.667 0.750
Pu: 0.667 0.333 0.250
I: 0.008 0.355 0.130
I: 0.008 0.652 0.370
I: 0.348 0.355 0.370
I: 0.348 0.992 0.130
I: 0.355 0.008 0.630
I: 0.355 0.348 0.870
I: 0.645 0.652 0.130
I: 0.645 0.992 0.370
I: 0.652 0.008 0.870
I: 0.652 0.645 0.630
I: 0.992 0.348 0.630
I: 0.992 0.645 0.870

A relaxed structure of Rb2LiI. Source: Alexandria, functional GGA-PBE.

Summary:
The formation energy from raw total energies comes out at -45.3 kJ per mole of atoms. The calculation puts the energy above the most stable polymorph in this dataset at 0.46 eV per formula unit. The calculated volume comes out at 50.84 Å³ per atom. For the total magnetization, the calculation gives 0.0000 μB per atom.

abc: 6.601 6.601 6.601
angles: 60.00 60.00 60.00
Positions (direct):
Rb: 0.250 0.250 0.250
Rb: 0.750 0.750 0.750
Li: 0.000 0.000 0.000
I: 0.500 0.500 0.500

A relaxed structure of Rb2LiI3. Source: Alexandria, functional GGA-PBE.

Summary:
The formation energy from raw total energies comes out at -135.1 kJ per mole of atoms. The calculation puts the energy above the most stable polymorph in this dataset at 0.00 eV per formula unit. The calculated volume comes out at 43.83 Å³ per atom. For the total magnetization, the calculation gives 0.0000 μB per atom.

abc: 10.426 4.995 20.200
angles: 90.00 90.00 90.00
Positions (direct):
Rb: 0.082 0.250 0.213
Rb: 0.247 0.250 0.954
Rb: 0.253 0.750 0.454
Rb: 0.418 0.750 0.713
Rb: 0.582 0.250 0.287
Rb: 0.747 0.250 0.546
Rb: 0.753 0.750 0.046
Rb: 0.918 0.750 0.787
Li: 0.132 0.250 0.634
Li: 0.368 0.750 0.134
Li: 0.632 0.250 0.866
Li: 0.868 0.750 0.366
I: 0.007 0.750 0.602
I: 0.130 0.750 0.073
I: 0.179 0.250 0.770
I: 0.321 0.750 0.270
I: 0.370 0.250 0.573
I: 0.493 0.250 0.102
I: 0.507 0.750 0.898
I: 0.630 0.750 0.427
I: 0.679 0.250 0.730
I: 0.821 0.750 0.230
I: 0.870 0.250 0.927
I: 0.993 0.250 0.398

A relaxed structure of RbLi2I. Source: Alexandria, functional GGA-PBE.

Summary:
The formation energy from raw total energies comes out at -32.6 kJ per mole of atoms. The calculation puts the energy above the most stable polymorph in this dataset at 0.00 eV per formula unit. The calculated volume comes out at 41.99 Å³ per atom. For the total magnetization, the calculation gives 0.0000 μB per atom.

abc: 7.695 7.695 7.695
angles: 103.17 103.17 122.97
Positions (direct):
Rb: 0.000 0.000 0.000
Rb: 0.750 0.250 0.500
Li: 0.223 0.625 0.098
Li: 0.375 0.473 0.598
Li: 0.527 0.125 0.902
Li: 0.875 0.777 0.402
I: 0.250 0.750 0.500
I: 0.500 0.500 0.000